Record 1
PuHf2Zr | PBE-GGA | optimized geometry

Calculated values
Electronic total energy in eV per atom: -10.61
Offset from the most stable computed form in meV/atom: 16.2
ΔE_f in meV per atom: 91

Structure (POSCAR):
```
PuHf2Zr
1.0
-0.189 0.261 -3.170
1.999 -2.460 -0.322
-7.041 -5.716 -0.052
Hf Zr Pu
2 1 1
Direct
0.000 0.000 0.748
0.000 0.000 0.252
0.500 0.500 0.500
0.500 0.500 0.000
```

Record 2
PuHf4Zr5 | PBE-GGA | optimized geometry

Calculated values
Electronic total energy in eV per atom: -9.63
ΔE_f in meV per atom: 56

Structure (POSCAR):
```
PuHf4Zr5
1.0
5.524 1.631 2.513
3.973 6.269 2.917
-0.670 1.658 8.242
Pu Hf Zr
1 4 5
Direct
0.900 0.001 0.000
0.899 0.600 0.798
0.647 0.195 0.609
0.399 0.799 0.402
0.147 0.404 0.191
0.396 0.599 0.803
0.150 0.197 0.607
0.899 0.801 0.398
0.650 0.403 0.194
0.402 0.000 0.999
```

Record 3
PuHf8Zr2 | PBE-GGA | optimized geometry

Calculated values
Electronic total energy in eV per atom: -10.03
ΔE_f in meV per atom: 65

Structure (POSCAR):
```
PuHf8Zr2
1.0
3.122 -0.005 0.564
-0.520 7.231 2.824
-0.450 1.160 11.424
Pu Hf Zr
1 8 2
Direct
0.000 0.000 0.970
0.910 0.552 0.148
0.180 0.914 0.607
0.363 0.821 0.244
0.452 0.274 0.065
0.637 0.180 0.696
0.819 0.087 0.333
0.089 0.448 0.792
0.547 0.726 0.874
0.274 0.364 0.421
0.725 0.637 0.519
```

Record 4
Pu2Hf8Zr3 | PBE-GGA | optimized geometry

Calculated values
Electronic total energy in eV per atom: -9.99
ΔE_f in meV per atom: 315

Structure (POSCAR):
```
Pu2Hf8Zr3
1.0
4.984 -0.324 0.827
-0.403 7.870 5.591
-1.375 2.330 9.276
Pu Hf Zr
2 8 3
Direct
0.502 0.242 0.242
0.498 0.758 0.758
0.999 0.667 0.667
0.001 0.333 0.333
0.001 0.139 0.139
0.999 0.861 0.861
0.500 0.606 0.181
0.500 0.181 0.606
0.500 0.819 0.394
0.500 0.394 0.819
0.500 0.000 0.000
0.000 0.278 0.722
0.000 0.722 0.278
```

Record 5
Pu2Hf4Zr5 | PBE-GGA | optimized geometry

Calculated values
Electronic total energy in eV per atom: -9.95
ΔE_f in meV per atom: 163

Structure (POSCAR):
```
Pu2Hf4Zr5
1.0
3.055 0.000 -0.440
-0.056 7.731 -0.391
0.016 -0.150 10.929
Pu Hf Zr
2 4 5
Direct
0.415 0.297 0.829
0.585 0.703 0.171
0.274 0.171 0.548
0.954 0.647 0.908
0.726 0.829 0.452
0.046 0.353 0.092
0.814 0.528 0.629
0.186 0.472 0.371
0.866 0.947 0.733
0.500 0.000 0.000
0.134 0.053 0.267
```

Record 6
PuHfZr3 | PBE-GGA | optimized geometry

Calculated values
Electronic total energy in eV per atom: -9.93
Offset from the most stable computed form in meV/atom: 0.0
ΔE_f in meV per atom: 51

Structure (POSCAR):
```
PuHfZr3
1.0
6.590 4.694 2.427
-1.293 5.413 -0.620
1.774 4.030 6.201
Pu Hf Zr
2 2 6
Direct
0.849 0.287 0.254
0.151 0.713 0.746
0.349 0.105 0.748
0.651 0.895 0.252
0.052 0.693 0.252
0.751 0.908 0.754
0.454 0.477 0.252
0.546 0.523 0.748
0.948 0.307 0.748
0.249 0.092 0.246
```

Number 1: DOS(E_F) 1.879 states/eV per atom, spin magnetization 5.43 μB/f.u.. Number 2: DOS(E_F) 1.293 states/eV per atom, spin magnetization 5.60 μB/f.u.. Number 3: DOS(E_F) 1.582 states/eV per atom, spin magnetization 5.32 μB/f.u.. Number 4: DOS(E_F) 1.931 states/eV per atom, spin magnetization 10.72 μB/f.u.. Number 5: DOS(E_F) 1.872 states/eV per atom, spin magnetization 10.46 μB/f.u.. Number 6: DOS(E_F) 1.395 states/eV per atom, spin magnetization 5.39 μB/f.u..